## Hf8Mo5S (meta-GGA SCAN)

Data for a PBEsol-optimized structure of Hf8Mo5S.

Total magnetization = 0.0 μB/f.u.
E_tot = -49.207 eV/atom
DOS at the Fermi energy = 48.2 states/eV/cell

Lattice parameters (Å, degrees): 8.3586 8.9864 13.9315 90.00 90.00 90.00
Closest atoms and distances in Å follow each position.
Space group Amm2 (No. 38)
Unique sites:
Hf: 0.0000 0.0000 0.0645 x2  1 S 2.60
Hf: 0.0000 0.1794 0.8799 x4  2 Mo 2.75-2.79, 3 Hf 3.03-3.07
Hf: 0.1950 0.0000 0.3987 x4  1 S 2.63, 2 Mo 2.81-2.91
Hf: 0.2040 0.2102 0.2110 x8  1 S 2.60, 1 Mo 2.81
Hf: 0.3085 0.2137 0.0000 x8  1 S 2.55
Hf: 0.3104 0.0000 0.8102 x4  1 S 2.67, 4 Mo 2.90-2.98
Hf: 0.5000 0.0000 0.1613 x2  1 S 2.74, 4 Mo 2.76-3.04
Mo: 0.0000 0.0000 0.7163 x2  4 Mo 2.63-2.75, 4 Hf 2.79-2.91
Mo: 0.0000 0.1637 0.5494 x4  4 Mo 2.69-2.94, 3 Hf 2.75-2.89
Mo: 0.2536 0.0000 0.6046 x4  6 Mo 2.63-2.69, 2 Hf 2.90-2.91
Mo: 0.5000 0.0000 0.4836 x2  6 Mo 2.65-2.88, 2 Hf 2.81
Mo: 0.5000 0.1614 0.6625 x4  5 Mo 2.65-2.90, 2 Hf 2.81
Mo: 0.5000 0.1676 0.3273 x4  2 Mo 2.65-2.76, 1 Hf 2.76
S: 0.0000 0.0000 0.2509 x2  7 Hf 2.60-2.63
S: 0.5000 0.0000 0.9645 x2  7 Hf 2.55-2.74

## Hf9Mo4S (meta-GGA SCAN)

Data for a PBEsol-optimized structure of Hf9Mo4S.

Total magnetization = 0.0 μB/f.u.
E_tot = -51.249 eV/atom
DOS at the Fermi energy = 20.7 states/eV/cell

Lattice parameters (Å, degrees): 8.5453 8.5453 8.4523 90.00 90.00 120.00
Closest atoms and distances in Å follow each position.
Space group P6_3/mmc (No. 194)
Unique sites:
Hf: 0.0824 0.5412 0.2500 x6  2 Mo 2.87, 1 S 3.08, 8 Hf 3.18-3.19
Hf: 0.1979 0.3957 0.5492 x12  1 S 2.63, 1 Mo 2.84
Mo: 0.0000 0.0000 0.0000 x2  6 Mo 2.67, 6 Hf 2.96
Mo: 0.1103 0.2206 0.2500 x6  4 Mo 2.67-2.83, 4 Hf 2.84-2.87
S: 0.3333 0.6667 0.7500 x2  6 Hf 2.63

## HfSbMo3 (meta-GGA SCAN)

Data for a PBEsol-optimized structure of HfSbMo3.

Total magnetization = 2.5 μB/f.u.
E_tot = -39.051 eV/atom
DOS at the Fermi energy = 6.7 states/eV/cell

Lattice parameters (Å, degrees): 4.7521 4.7521 4.7521 90.00 90.00 90.00
Closest atoms and distances in Å follow each position.
Space group Pm-3m (No. 221)
Unique sites:
Hf: 0.0000 0.0000 0.0000 x1  6 Mo 2.38
Sb: 0.5000 0.5000 0.5000 x1  12 Mo 3.36
Mo: 0.0000 0.0000 0.5000 x3  2 Hf 2.38